[1]
Ca2SbBr after structural relaxation, computed with GGA-PBE.

Unit cell a=5.525 b=5.525 c=5.525 alpha=60.00 beta=60.00 gamma=60.00
Fractional positions:
Ca 0.000 0.000 0.000
Ca 0.250 0.250 0.250
Sb 0.500 0.500 0.500
Br 0.750 0.750 0.750

=====

[2]
CaSbBr after structural relaxation, computed with GGA-PBE.

Unit cell a=5.325 b=5.325 c=5.325 alpha=60.00 beta=60.00 gamma=60.00
Fractional positions:
Ca 0.000 0.000 0.000
Sb 0.750 0.750 0.750
Br 0.250 0.250 0.250

Values from the calculation:
distance to the lowest polymorph of the same formula	119	meV/atom

=====

[3]
Ca2SbBr after structural relaxation, computed with GGA-PBE.

Unit cell a=4.865 b=6.375 c=6.375 alpha=37.91 beta=90.00 gamma=90.00
Fractional positions:
Ca 0.000 0.000 0.000
Ca 0.500 0.245 0.245
Sb 0.500 0.520 0.520
Br 0.000 0.764 0.764

=====

[4]
CaSbBr4 after structural relaxation, computed with GGA-PBE.

Unit cell a=6.326 b=6.326 c=6.326 alpha=60.00 beta=60.00 gamma=60.00
Fractional positions:
Ca 0.000 0.000 0.000
Sb 0.750 0.750 0.750
Br 0.375 0.375 0.375
Br 0.375 0.375 0.875
Br 0.375 0.875 0.375
Br 0.875 0.375 0.375

=====

[5]
CaSbBr2 after structural relaxation, computed with GGA-PBE.

Unit cell a=3.476 b=3.476 c=12.538 alpha=90.00 beta=90.00 gamma=90.00
Fractional positions:
Ca 0.000 0.000 0.000
Sb 0.000 0.000 0.500
Br 0.500 0.500 0.138
Br 0.500 0.500 0.862

Values from the calculation:
distance to the lowest polymorph of the same formula	20	meV/atom

=====

[6]
Ca2SbBr after structural relaxation, computed with GGA-PBE.

Unit cell a=8.124 b=8.124 c=8.124 alpha=32.24 beta=32.24 gamma=32.24
Fractional positions:
Ca 0.000 0.000 0.000
Ca 0.192 0.192 0.192
Sb 0.595 0.595 0.595
Br 0.419 0.419 0.419

=====

[7]
CaSbBr2 after structural relaxation, computed with GGA-PBE.

Unit cell a=3.758 b=4.802 c=6.271 alpha=90.00 beta=90.00 gamma=90.00
Fractional positions:
Ca 0.000 0.000 0.000
Sb 0.500 0.000 0.500
Br 0.000 0.500 0.500
Br 0.500 0.500 0.000

Values from the calculation:
distance to the lowest polymorph of the same formula	162	meV/atom

=====

[8]
Ca4SbBr5 after structural relaxation, computed with GGA-PBE.

Unit cell a=9.644 b=9.644 c=8.673 alpha=104.33 beta=104.33 gamma=26.26
Fractional positions:
Ca 0.003 0.003 0.248
Ca 0.332 0.332 0.890
Ca 0.668 0.668 0.110
Ca 0.997 0.997 0.752
Sb 0.500 0.500 0.000
Br 0.167 0.167 0.332
Br 0.170 0.170 0.866
Br 0.500 0.500 0.500
Br 0.830 0.830 0.134
Br 0.833 0.833 0.668

=====

| no. | M_tot (μB/cell) | formation energy from raw total energies (eV per atom) |
| --- | --- | --- |
| 1 | 0.00 | -0.522 |
| 2 | 1.99 | -0.530 |
| 3 | 0.00 | -1.246 |
| 4 | 0.00 | 0.024 |
| 5 | 0.00 | -1.021 |
| 6 | 0.00 | -1.301 |
| 7 | 0.00 | -0.879 |
| 8 | 0.00 | -1.784 |